First-principles (GGA-PBE) data for crystalline Ca2LaCl at its relaxed geometry, as listed in the Alexandria database.

Properties
* ΔE_f (raw): -580 meV per atom
* DOS(E_F): 1.419 states/eV/atom
* magnetization: 0.04 μB/f.u.
* relative energy among the computed polymorphs: 230 meV/atom
* space-group type: Immm (71)

a b c (Å): 6.850 6.850 6.450
angles (deg): 61.95 61.95 30.51
Fractional positions:
1 Ca 0.046 0.046 0.954
2 Ca 0.454 0.454 0.546
3 Cl 0.750 0.750 0.750
4 La 0.250 0.250 0.250


First-principles (GGA-PBE) data for crystalline PrEu3Ni at its relaxed geometry, as listed in the Alexandria database.

Properties
* DFT formation energy: 71 meV/atom
* DOS(E_F): 3.293 states/eV/atom
* magnetization: 21.83 μB/f.u.
* space-group type: Pm-3m (221)

a b c (Å): 5.617 5.617 5.617
angles (deg): 90.00 90.00 90.00
Each line ends with the local moment (μB).
Fractional positions:
1 Eu 0.000 0.500 0.000  6.86
2 Eu 0.000 0.000 0.500  6.86
3 Eu 0.500 0.000 0.000  6.86
4 Pr 0.500 0.500 0.500  0.22
5 Ni 0.000 0.000 0.000  -0.21


First-principles (GGA-PBE) data for crystalline Li6ErCu6 at its relaxed geometry, as listed in the Alexandria database.

Properties
* DFT formation energy: -68 meV/atom
* DOS(E_F): 0.482 states/eV/atom
* magnetization: 0.00 μB/f.u.
* space-group type: Immm (71)

a b c (Å): 4.958 6.680 6.680
angles (deg): 81.19 68.21 68.21
Fractional positions:
1 Li 0.358 0.642 0.642
2 Li 0.642 0.358 0.358
3 Li 0.000 0.344 0.656
4 Li 0.000 0.656 0.344
5 Li 0.290 0.210 0.210
6 Li 0.710 0.790 0.790
7 Er 0.000 0.000 0.000
8 Cu 0.000 0.500 0.000
9 Cu 0.500 0.500 0.000
10 Cu 0.000 0.000 0.500
11 Cu 0.500 0.000 0.500
12 Cu 0.500 0.788 0.212
13 Cu 0.500 0.212 0.788


First-principles (GGA-PBE) data for crystalline Er4HgIrRh2 at its relaxed geometry, as listed in the Alexandria database.

Properties
* DFT formation energy: -794 meV/atom
* DOS(E_F): 0.447 states/eV/atom
* magnetization: 0.00 μB/f.u.
* space-group type: R-3m (166)

a b c (Å): 4.887 4.887 8.579
angles (deg): 73.45 73.45 60.00
Fractional positions:
1 Er 0.382 0.382 0.854
2 Er 0.871 0.871 0.388
3 Er 0.129 0.129 0.612
4 Er 0.618 0.618 0.146
5 Hg 0.000 0.000 0.000
6 Ir 0.500 0.500 0.500
7 Rh 0.751 0.751 0.746
8 Rh 0.249 0.249 0.254


First-principles (GGA-PBE) data for crystalline NaPmAs at its relaxed geometry, as listed in the Alexandria database.

Properties
* DFT formation energy: -517 meV/atom
* DOS(E_F): 0.276 states/eV/atom
* magnetization: 0.87 μB/f.u.
* relative energy among the computed polymorphs: 190 meV/atom
* space-group type: P3m1 (156)

a b c (Å): 4.086 4.589 4.589
angles (deg): 120.00 90.00 90.00
Each line ends with the local moment (μB).
Fractional positions:
1 Na 0.869 0.333 0.667  0.03
2 As 0.784 0.000 0.000  -0.02
3 Pm 0.347 0.667 0.333  0.33


First-principles (GGA-PBE) data for crystalline Tb4Ga16Rh3 at its relaxed geometry, as listed in the Alexandria database.

Properties
* DFT formation energy: -640 meV/atom
* DOS(E_F): 0.261 states/eV/atom
* magnetization: 0.00 μB/f.u.
* space-group type: P4/mmm (123)

a b c (Å): 6.147 6.147 11.219
angles (deg): 90.00 90.00 90.00
Fractional positions:
1 Tb 0.500 0.000 0.807
2 Tb 0.000 0.500 0.193
3 Tb 0.000 0.500 0.807
4 Tb 0.500 0.000 0.193
5 Ga 0.000 0.000 0.776
6 Ga 0.287 0.287 0.000
7 Ga 0.500 0.500 0.804
8 Ga 0.713 0.287 0.000
9 Ga 0.500 0.500 0.196
10 Ga 0.713 0.713 0.000
11 Ga 0.000 0.000 0.224
12 Ga 0.750 0.750 0.620
13 Ga 0.750 0.250 0.380
14 Ga 0.250 0.250 0.620
15 Ga 0.250 0.750 0.380
16 Ga 0.287 0.713 0.000
17 Ga 0.750 0.750 0.380
18 Ga 0.750 0.250 0.620
19 Ga 0.250 0.250 0.380
20 Ga 0.250 0.750 0.620
21 Rh 0.000 0.500 0.500
22 Rh 0.000 0.000 0.000
23 Rh 0.500 0.000 0.500


First-principles (GGA-PBE) data for crystalline Mg6InHg2 at its relaxed geometry, as listed in the Alexandria database.

Properties
* DFT formation energy: -122 meV/atom
* DOS(E_F): 0.448 states/eV/atom
* magnetization: 0.00 μB/f.u.
* relative energy among the computed polymorphs: 0 meV/atom
* space-group type: Amm2 (38)

a b c (Å): 4.116 7.661 7.592
angles (deg): 120.30 90.00 90.00
Fractional positions:
1 Mg 0.500 0.598 0.000
2 Mg 0.500 0.404 0.405
3 Mg 0.500 0.999 0.595
4 Mg 0.000 0.263 0.000
5 Mg 0.000 0.735 0.737
6 Mg 0.000 0.999 0.263
7 In 0.500 0.001 0.000
8 Hg 0.000 0.334 0.667
9 Hg 0.000 0.667 0.333


First-principles (GGA-PBE) data for crystalline Nb6GeC2 at its relaxed geometry, as listed in the Alexandria database.

Properties
* DFT formation energy: -66 meV/atom
* DOS(E_F): 0.593 states/eV/atom
* magnetization: 0.00 μB/f.u.
* space-group type: C2/m (12)

a b c (Å): 4.474 5.839 6.600
angles (deg): 72.73 70.19 67.47
Fractional positions:
1 Nb 0.700 0.689 0.911
2 Nb 0.300 0.311 0.089
3 Nb 0.957 0.878 0.209
4 Nb 0.350 0.749 0.551
5 Nb 0.043 0.122 0.791
6 Nb 0.650 0.251 0.449
7 Ge 0.000 0.500 0.500
8 C 0.187 0.711 0.915
9 C 0.813 0.289 0.085